## i
Computed, not measured: crystalline TbTmInRu at its relaxed geometry at the PBE level of DFT.

Results
Total magnetization (μB per cell): 0.00
N(E_F) (states/eV per cell): 2.8
Space group: P4mm, No. 99

Cell lengths 3.4339, 3.4339, 7.8284 Å; angles 90.00, 90.00, 90.00 degrees
Last column: nearest neighbours and their distance in Å.
Atoms (fractional coordinates):
Tm 0.5000 0.5000 0.3614  4 Ru 2.90
In 0.0000 0.0000 0.0768  4 Tm 3.30, 4 Tb 3.35, 4 In 3.43
Tb 0.5000 0.5000 0.7820  4 Ru 2.97, 1 Tm 3.29
Ru 0.0000 0.0000 0.5645  4 Tm 2.90, 4 Tb 2.97

***

## ii
Computed, not measured: crystalline TbTmInRu at its relaxed geometry at the PBE level of DFT.

Results
Total magnetization (μB per cell): 0.00
N(E_F) (states/eV per cell): 2.8
Space group: F-43m, No. 216

Cell lengths 5.0384, 5.0384, 5.0384 Å; angles 60.00, 60.00, 60.00 degrees
Last column: nearest neighbours and their distance in Å.
Atoms (fractional coordinates):
Tm 0.2500 0.2500 0.2500  4 In 3.09, 4 Ru 3.09
Ru 0.5000 0.5000 0.5000  4 Tm 3.09, 4 Tb 3.09
Tb 0.7500 0.7500 0.7500  4 In 3.09, 4 Ru 3.09
In 0.0000 0.0000 0.0000  4 Tb 3.09, 4 Tm 3.09

***

What should be chosen as the most stable of them? Choose i.